No. 1
# PBE FeBiI2, relaxed
# crystal system	tetragonal
# energy relative to the elements, uncorrected	0.642	eV/atom
# V	524.4	Å³/cell
data_FeBiI2
_chemical_formula_sum 'Fe4 Bi4 I8'
_symmetry_space_group_name_H-M 'I -4 2 d'
_symmetry_Int_Tables_number 122
_symmetry_space_group_name_Hall 'I -4 2bw'
_cell_length_a 7.084
_cell_length_b 7.084
_cell_length_c 10.449
_cell_angle_alpha 90.00
_cell_angle_beta 90.00
_cell_angle_gamma 90.00
loop_
_atom_site_label
_atom_site_fract_x
_atom_site_fract_y
_atom_site_fract_z
Fe1 0.000 0.000 0.000
Bi1 0.000 0.000 0.500
I1 0.154 0.250 0.125

No. 2
# PBE Fe2BiI2, relaxed
# crystal system	tetragonal
# energy relative to the elements, uncorrected	0.925	eV/atom
# V	218.0	Å³/cell
data_Fe2BiI2
_chemical_formula_sum 'Fe4 Bi2 I4'
_symmetry_space_group_name_H-M 'P 4/m b m'
_symmetry_Int_Tables_number 127
_symmetry_space_group_name_Hall '-P 4 2ab'
_cell_length_a 7.720
_cell_length_b 7.720
_cell_length_c 3.658
_cell_angle_alpha 90.00
_cell_angle_beta 90.00
_cell_angle_gamma 90.00
loop_
_atom_site_label
_atom_site_fract_x
_atom_site_fract_y
_atom_site_fract_z
Fe1 0.105 0.395 0.000
Bi1 0.000 0.000 0.000
I1 0.154 0.654 0.500